Record 1
## YTcAsN2 (PBE)

Data for an optimized crystal structure of YTcAsN2.

Properties
* energy above the most stable polymorph in this dataset: 1.8625 eV per atom
* M_tot: 0.0001 μB per atom
* ΔE_f (raw): 1.783 eV per atom
* mass density: 4.651 g/cm3

Cell and atoms, written as POSCAR:
```
YTcAsN2
1.0
4.0422 0.0000 0.0000
0.0000 4.0422 0.0000
0.0000 0.0000 6.3334
Y Tc As N
1 1 1 2
Cartesian
0.0000 0.0000 0.0000
0.0000 0.0000 3.1667
2.0211 2.0211 3.1667
0.0000 2.0211 0.0000
2.0211 0.0000 0.0000
```

---

Record 2
## Ba3Tl2Cl8 (PBE)

Data for an optimized crystal structure of Ba3Tl2Cl8.

Properties
* M_tot: 0.0000 μB per atom
* ΔE_f (raw): -1.996 eV per atom
* mass density: 3.985 g/cm3

Cell and atoms, written as POSCAR:
```
Ba3Tl2Cl8
1.0
5.6177 -7.7793 0.0000
5.6177 7.7793 0.0000
0.0000 0.0000 5.2655
Ba Tl Cl
3 2 8
Cartesian
0.0000 0.0000 0.0000
3.1895 0.0000 2.6327
8.0459 0.0000 2.6327
5.6177 3.6183 0.0000
5.6177 -3.6183 0.0000
5.6177 6.0691 2.6327
2.6703 1.7574 0.0000
2.6703 -1.7574 0.0000
5.6177 1.8746 2.6327
5.6177 -1.8746 2.6327
8.5651 1.7574 0.0000
8.5651 -1.7574 0.0000
5.6177 -6.0691 2.6327
```

---

Record 3
## LiCeNd2O6 (PBE)

Data for an optimized crystal structure of LiCeNd2O6.

Properties
* M_tot: 0.1058 μB per atom
* ΔE_f (raw): -2.837 eV per atom
* mass density: 5.794 g/cm3

Cell and atoms, written as POSCAR:
```
LiCeNd2O6
1.0
5.7641 0.0000 0.0000
0.0000 5.8148 0.0000
-4.8649 0.0000 9.0905
Li Ce Nd O
2 2 4 12
Cartesian
0.0000 0.0000 0.0000
-2.4324 2.9074 4.5453
0.4496 0.0000 4.5453
2.8820 2.9074 0.0000
-2.4872 0.3029 6.7136
-0.0548 2.6045 2.1683
0.9540 3.2103 6.9223
3.3865 5.5120 2.3770
-1.2643 1.2566 3.9203
-3.6967 1.6508 8.4656
-0.8940 4.1780 3.6450
-3.3264 4.5442 8.1902
1.1942 0.5531 2.5652
-1.2382 2.3544 7.1104
2.1374 3.4605 1.9801
-0.2950 5.2618 6.5254
4.2256 1.2706 0.9003
1.7932 1.6368 5.4456
4.5960 4.1640 0.6250
2.1635 4.5582 5.1702
```